# 1
! CaCd3In3, optimized geometry, DFT PBE; values from VASP
&SYSTEM
  ibrav = 0, nat = 14, ntyp = 3
/
ATOMIC_SPECIES
Ca 40.08 Ca.upf
In 114.82 In.upf
Cd 112.41 Cd.upf
CELL_PARAMETERS angstrom
-4.305 -5.296 -4.725
3.044 -2.444 -7.326
2.525 -7.542 -1.138
ATOMIC_POSITIONS crystal
Ca 0.667 0.667 0.998
Ca 0.333 0.333 0.002
In 0.945 0.171 0.195
In 0.055 0.829 0.805
In 0.171 0.690 0.195
In 0.310 0.055 0.805
In 0.829 0.310 0.805
In 0.690 0.945 0.195
Cd 0.712 0.120 0.649
Cd 0.481 0.288 0.351
Cd 0.120 0.519 0.649
Cd 0.288 0.880 0.351
Cd 0.519 0.712 0.649
Cd 0.880 0.481 0.351
! E above lowest polymorph (meV/atom): 0
! ΔE_f (meV/atom): -61
! DFT total energy (eV per atom): -1.913

# 2
! KCoPt2, optimized geometry, DFT PBE; values from VASP
&SYSTEM
  ibrav = 0, nat = 4, ntyp = 3
/
ATOMIC_SPECIES
Co 58.93 Co.upf
Pt 195.08 Pt.upf
K 39.10 K.upf
CELL_PARAMETERS angstrom
-1.570 -2.039 -3.329
0.635 -3.566 1.885
-3.735 0.201 1.638
ATOMIC_POSITIONS crystal
Co 0.500 0.500 0.000
Pt 0.000 0.500 0.500
Pt 0.000 0.000 0.000
K 0.500 0.000 0.500
! E above lowest polymorph (meV/atom): 565
! ΔE_f (meV/atom): 669
! DFT total energy (eV per atom): -4.402

# 3
! PrDyErMg, optimized geometry, DFT PBE; values from VASP
&SYSTEM
  ibrav = 0, nat = 4, ntyp = 4
/
ATOMIC_SPECIES
Mg 24.30 Mg.upf
Dy 162.50 Dy.upf
Er 167.26 Er.upf
Pr 140.91 Pr.upf
CELL_PARAMETERS angstrom
3.694 0.000 0.000
0.000 3.694 0.000
0.000 0.000 8.907
ATOMIC_POSITIONS crystal
Mg 0.000 0.000 0.569
Dy 0.500 0.500 0.791
Er 0.500 0.500 0.352
Pr 0.000 0.000 0.073
! E above lowest polymorph (meV/atom): 0
! ΔE_f (meV/atom): -23
! DFT total energy (eV per atom): -3.908

# 4
! Be2CdMo, optimized geometry, DFT PBE; values from VASP
&SYSTEM
  ibrav = 0, nat = 4, ntyp = 3
/
ATOMIC_SPECIES
Be 9.01 Be.upf
Mo 95.94 Mo.upf
Cd 112.41 Cd.upf
CELL_PARAMETERS angstrom
5.034 0.002 0.006
1.983 4.626 -0.006
-2.781 -3.416 2.435
ATOMIC_POSITIONS crystal
Be 0.496 0.496 0.000
Be 0.004 0.004 0.000
Mo 0.250 0.750 0.500
Cd 0.750 0.250 0.500
! ΔE_f (meV/atom): 594
! DFT total energy (eV per atom): -4.206

# 5
! KMnOs2, optimized geometry, DFT PBE; values from VASP
&SYSTEM
  ibrav = 0, nat = 4, ntyp = 3
/
ATOMIC_SPECIES
Os 190.23 Os.upf
K 39.10 K.upf
Mn 54.94 Mn.upf
CELL_PARAMETERS angstrom
-2.993 -0.290 4.707
4.863 -2.713 -0.421
1.224 2.053 0.904
ATOMIC_POSITIONS crystal
Os 0.000 0.000 0.000
Os 0.500 0.500 0.000
K 0.500 0.000 0.500
Mn 0.000 0.500 0.500
! E above lowest polymorph (meV/atom): 650
! ΔE_f (meV/atom): 1366
! DFT total energy (eV per atom): -6.816

# 6
! K2CuNiH6, optimized geometry, DFT PBE; values from VASP
&SYSTEM
  ibrav = 0, nat = 10, ntyp = 4
/
ATOMIC_SPECIES
H 1.01 H.upf
Ni 58.69 Ni.upf
K 39.10 K.upf
Cu 63.55 Cu.upf
CELL_PARAMETERS angstrom
4.693 0.000 0.000
0.000 5.667 0.000
0.000 -2.834 4.908
ATOMIC_POSITIONS crystal
H 0.223 0.255 0.127
H 0.777 0.127 0.255
H 0.777 0.127 0.873
H 0.777 0.745 0.873
H 0.223 0.873 0.127
H 0.223 0.873 0.745
Ni 0.000 0.000 0.000
K 0.760 0.667 0.333
K 0.240 0.333 0.667
Cu 0.500 0.000 0.000
! DFT total energy (eV per atom): -3.366

# 7
! Pm2HoEr5Th, optimized geometry, DFT PBE; values from VASP
&SYSTEM
  ibrav = 0, nat = 18, ntyp = 4
/
ATOMIC_SPECIES
Er 167.26 Er.upf
Th 232.04 Th.upf
Pm 145.00 Pm.upf
Ho 164.93 Ho.upf
CELL_PARAMETERS angstrom
8.680 0.000 0.000
0.000 8.680 0.000
-4.340 -4.340 7.621
ATOMIC_POSITIONS crystal
Er 0.148 0.074 0.722
Er 0.574 0.648 0.722
Er 0.426 0.352 0.278
Er 0.648 0.148 0.722
Er 0.352 0.852 0.278
Er 0.926 0.426 0.278
Er 0.852 0.926 0.278
Er 0.500 0.500 0.000
Er 0.000 0.000 0.000
Er 0.074 0.574 0.722
Th 0.750 0.750 0.500
Th 0.250 0.250 0.500
Pm 0.616 0.116 0.000
Pm 0.116 0.384 0.000
Pm 0.884 0.616 0.000
Pm 0.384 0.884 0.000
Ho 0.250 0.750 0.500
Ho 0.750 0.250 0.500
! ΔE_f (meV/atom): 298
! DFT total energy (eV per atom): -4.626

# 8
! ZnAgPb2, optimized geometry, DFT PBE; values from VASP
&SYSTEM
  ibrav = 0, nat = 4, ntyp = 3
/
ATOMIC_SPECIES
Pb 207.20 Pb.upf
Zn 65.41 Zn.upf
Ag 107.87 Ag.upf
CELL_PARAMETERS angstrom
9.675 0.037 0.022
9.033 3.466 0.022
9.033 1.691 3.025
ATOMIC_POSITIONS crystal
Pb 0.000 0.000 0.000
Pb 0.500 0.500 0.500
Zn 0.250 0.250 0.250
Ag 0.750 0.750 0.750
! ΔE_f (meV/atom): 204
! DFT total energy (eV per atom): -2.681

# 9
! Nd2Sc2Ge2C, optimized geometry, DFT PBE; values from VASP
&SYSTEM
  ibrav = 0, nat = 7, ntyp = 4
/
ATOMIC_SPECIES
Nd 144.24 Nd.upf
Sc 44.96 Sc.upf
C 12.01 C.upf
Ge 72.64 Ge.upf
CELL_PARAMETERS angstrom
-4.190 1.517 0.035
-1.485 -4.079 -1.007
2.291 -0.405 8.124
ATOMIC_POSITIONS crystal
Nd 0.835 0.835 0.670
Nd 0.165 0.165 0.330
Sc 0.500 0.000 0.000
Sc 0.000 0.500 0.000
C 0.000 0.000 0.000
Ge 0.629 0.629 0.257
Ge 0.371 0.371 0.743
! ΔE_f (meV/atom): -833
! DFT total energy (eV per atom): -6.642

# 10
! Nd11Y4Ho9, optimized geometry, DFT PBE; values from VASP
&SYSTEM
  ibrav = 0, nat = 24, ntyp = 3
/
ATOMIC_SPECIES
Ho 164.93 Ho.upf
Nd 144.24 Nd.upf
Y 88.91 Y.upf
CELL_PARAMETERS angstrom
-0.249 1.490 -3.336
9.361 -10.963 -5.595
-14.961 -3.860 -0.606
ATOMIC_POSITIONS crystal
Ho 0.500 0.166 0.630
Ho 0.500 0.500 0.500
Ho 0.500 0.834 0.370
Ho 0.500 0.787 0.933
Ho 0.500 0.933 0.787
Ho 0.500 0.213 0.067
Ho 0.500 0.370 0.834
Ho 0.500 0.067 0.213
Ho 0.500 0.630 0.166
Nd 0.000 0.368 0.632
Nd 0.000 0.596 0.959
Nd 0.000 0.839 0.161
Nd 0.000 0.161 0.839
Nd 0.000 0.404 0.041
Nd 0.000 0.959 0.596
Nd 0.000 0.632 0.368
Nd 0.000 0.709 0.709
Nd 0.000 0.041 0.404
Nd 0.000 0.000 0.000
Nd 0.000 0.291 0.291
Y 0.500 0.759 0.556
Y 0.500 0.444 0.241
Y 0.500 0.556 0.759
Y 0.500 0.241 0.444
! ΔE_f (meV/atom): 62
! DFT total energy (eV per atom): -4.917

# 11
! Hf4Al2H, optimized geometry, DFT PBE; values from VASP
&SYSTEM
  ibrav = 0, nat = 7, ntyp = 3
/
ATOMIC_SPECIES
Hf 178.49 Hf.upf
Al 26.98 Al.upf
H 1.01 H.upf
CELL_PARAMETERS angstrom
-2.248 0.401 -1.912
2.721 -2.103 -3.641
-5.849 -5.540 5.715
ATOMIC_POSITIONS crystal
Hf 0.000 0.924 0.674
Hf 0.000 0.219 0.469
Hf 0.500 0.234 0.980
Hf 0.500 0.909 0.163
Al 0.500 0.530 0.784
Al 0.500 0.613 0.359
H 0.000 0.071 0.071
! E above lowest polymorph (meV/atom): 153
! DFT total energy (eV per atom): -7.284

# 12
! Al2PbS, optimized geometry, DFT PBE; values from VASP
&SYSTEM
  ibrav = 0, nat = 8, ntyp = 3
/
ATOMIC_SPECIES
Pb 207.20 Pb.upf
Al 26.98 Al.upf
S 32.06 S.upf
CELL_PARAMETERS angstrom
-4.397 2.230 3.280
-3.725 -0.642 -4.558
-5.437 -4.714 1.261
ATOMIC_POSITIONS crystal
Pb 0.000 0.000 0.000
Pb 0.750 0.250 0.500
Al 0.161 0.625 0.250
Al 0.589 0.125 0.250
Al 0.875 0.839 0.750
Al 0.375 0.411 0.750
S 0.500 0.500 0.000
S 0.250 0.750 0.500
! Uncorrected formation energy (eV/atom): -0.133
! E above lowest polymorph (meV/atom): 0
! DFT total energy (eV per atom): -3.963

# 13
! CoMo2Pt, optimized geometry, DFT PBE; values from VASP
&SYSTEM
  ibrav = 0, nat = 4, ntyp = 3
/
ATOMIC_SPECIES
Pt 195.08 Pt.upf
Co 58.93 Co.upf
Mo 95.94 Mo.upf
CELL_PARAMETERS angstrom
9.168 0.005 0.003
8.756 2.716 0.003
8.756 1.329 2.368
ATOMIC_POSITIONS crystal
Pt 0.503 0.503 0.503
Co 0.251 0.251 0.251
Mo 0.994 0.994 0.994
Mo 0.752 0.752 0.752
! E above lowest polymorph (meV/atom): 236
! ΔE_f (meV/atom): 98
! DFT total energy (eV per atom): -8.604

# 14
! Tc2GeC, optimized geometry, DFT PBE; values from VASP
&SYSTEM
  ibrav = 0, nat = 8, ntyp = 3
/
ATOMIC_SPECIES
C 12.01 C.upf
Tc 98.00 Tc.upf
Ge 72.64 Ge.upf
CELL_PARAMETERS angstrom
6.721 0.000 0.000
0.000 6.721 0.000
3.360 3.360 2.366
ATOMIC_POSITIONS crystal
C 0.250 0.750 0.500
C 0.500 0.500 0.000
Tc 0.522 0.125 0.250
Tc 0.375 0.478 0.750
Tc 0.228 0.625 0.250
Tc 0.875 0.772 0.750
Ge 0.750 0.250 0.500
Ge 0.000 0.000 0.000
! E above lowest polymorph (meV/atom): 205
! ΔE_f (meV/atom): 306
! DFT total energy (eV per atom): -8.337

# 15
! EuTmAlAg, optimized geometry, DFT PBE; values from VASP
&SYSTEM
  ibrav = 0, nat = 4, ntyp = 4
/
ATOMIC_SPECIES
Eu 151.96 Eu.upf
Al 26.98 Al.upf
Tm 168.93 Tm.upf
Ag 107.87 Ag.upf
CELL_PARAMETERS angstrom
-2.147 3.173 3.544
-4.303 -1.476 2.557
0.261 -1.197 5.073
ATOMIC_POSITIONS crystal
Eu 0.500 0.500 0.500
Al 0.250 0.250 0.250
Tm 0.000 0.000 0.000
Ag 0.750 0.750 0.750
! ΔE_f (meV/atom): -256
! DFT total energy (eV per atom): -5.591

# 16
! CeNdRhCl, optimized geometry, DFT PBE; values from VASP
&SYSTEM
  ibrav = 0, nat = 4, ntyp = 4
/
ATOMIC_SPECIES
Ce 140.12 Ce.upf
Rh 102.91 Rh.upf
Nd 144.24 Nd.upf
Cl 35.45 Cl.upf
CELL_PARAMETERS angstrom
4.002 -0.001 0.000
-2.001 3.466 0.000
-2.001 -1.155 7.743
ATOMIC_POSITIONS crystal
Ce 0.104 0.950 0.069
Rh 0.310 0.553 0.879
Nd 0.496 0.146 0.657
Cl 0.968 0.382 0.364
! Uncorrected formation energy (eV/atom): -1.104
! DFT total energy (eV per atom): -6.079

# 17
! TaMnTc2, optimized geometry, DFT PBE; values from VASP
&SYSTEM
  ibrav = 0, nat = 4, ntyp = 3
/
ATOMIC_SPECIES
Ta 180.95 Ta.upf
Tc 98.00 Tc.upf
Mn 54.94 Mn.upf
CELL_PARAMETERS angstrom
-2.313 -2.507 -2.727
1.983 0.184 -1.851
2.873 -4.055 1.290
ATOMIC_POSITIONS crystal
Ta 0.500 0.760 0.745
Tc 0.000 0.990 0.007
Tc 0.500 0.254 0.252
Mn 0.000 0.495 0.496
! ΔE_f (meV/atom): -7
! DFT total energy (eV per atom): -10.446

# 18
! Ga3Cu3Te4Se2, optimized geometry, DFT PBE; values from VASP
&SYSTEM
  ibrav = 0, nat = 24, ntyp = 4
/
ATOMIC_SPECIES
Ga 69.72 Ga.upf
Cu 63.55 Cu.upf
Se 78.96 Se.upf
Te 127.60 Te.upf
CELL_PARAMETERS angstrom
4.215 10.300 -0.034
-4.215 10.300 -0.034
0.000 0.046 7.267
ATOMIC_POSITIONS crystal
Ga 0.798 0.530 0.849
Ga 0.120 0.884 0.494
Ga 0.884 0.120 0.994
Ga 0.530 0.798 0.349
Ga 0.207 0.457 0.668
Ga 0.457 0.207 0.168
Cu 0.637 0.356 0.512
Cu 0.356 0.637 0.012
Cu 0.048 0.275 0.322
Cu 0.718 0.965 0.675
Cu 0.965 0.718 0.175
Cu 0.275 0.048 0.822
Se 0.079 0.840 0.169
Se 0.840 0.079 0.669
Se 0.008 0.239 0.001
Se 0.239 0.008 0.501
Te 0.582 0.340 0.172
Te 0.153 0.421 0.327
Te 0.340 0.582 0.672
Te 0.485 0.758 0.002
Te 0.675 0.913 0.347
Te 0.421 0.153 0.827
Te 0.758 0.485 0.502
Te 0.913 0.675 0.847
! Uncorrected formation energy (eV/atom): -0.335
! DFT total energy (eV per atom): -3.744

# 19
! ScTcCl2, optimized geometry, DFT PBE; values from VASP
&SYSTEM
  ibrav = 0, nat = 4, ntyp = 3
/
ATOMIC_SPECIES
Tc 98.00 Tc.upf
Sc 44.96 Sc.upf
Cl 35.45 Cl.upf
CELL_PARAMETERS angstrom
7.872 0.032 -0.005
6.322 4.690 0.005
-6.950 -2.803 2.410
ATOMIC_POSITIONS crystal
Tc 0.707 0.207 0.500
Sc 0.569 0.569 0.000
Cl 0.241 0.741 0.500
Cl 0.983 0.983 0.000
! Uncorrected formation energy (eV/atom): -0.451
! E above lowest polymorph (meV/atom): 254
! DFT total energy (eV per atom): -5.549

# 20
! CaCe2Th, optimized geometry, DFT PBE; values from VASP
&SYSTEM
  ibrav = 0, nat = 4, ntyp = 3
/
ATOMIC_SPECIES
Ce 140.12 Ce.upf
Th 232.04 Th.upf
Ca 40.08 Ca.upf
CELL_PARAMETERS angstrom
3.477 0.000 0.000
1.739 3.011 0.000
1.739 1.004 12.460
ATOMIC_POSITIONS crystal
Ce 0.908 0.908 0.275
Ce 0.092 0.092 0.725
Th 0.500 0.500 0.500
Ca 0.000 0.000 0.000
! E above lowest polymorph (meV/atom): 62
! ΔE_f (meV/atom): 200
! DFT total energy (eV per atom): -5.122

| no. | mass density (Mg/m³) |
| --- | --- |
| 1 | 6.23 |
| 2 | 11.55 |
| 3 | 6.76 |
| 4 | 6.64 |
| 5 | 11.45 |
| 6 | 2.63 |
| 7 | 8.81 |
| 8 | 9.79 |
| 9 | 5.71 |
| 10 | 7.07 |
| 11 | 10.05 |
| 12 | 4.64 |
| 13 | 12.60 |
| 14 | 8.72 |
| 15 | 7.53 |
| 16 | 6.54 |
| 17 | 11.97 |
| 18 | 5.62 |
| 19 | 4.01 |
| 20 | 7.03 |